NaTiS2 PBE optimized geometry; formation energy (no corrections) = -1.33 eV/atom; size of the total moment = 1.0 μB per formula unit
1.0
3.465 0.000 0.000
-1.732 3.000 0.000
0.000 0.000 14.037
Na Ti S
2 2 4
direct
0.000 0.000 0.000 Na
0.000 0.000 0.500 Na
0.000 0.000 0.250 Ti
0.000 0.000 0.750 Ti
0.333 0.667 0.143 S
0.333 0.667 0.357 S
0.667 0.333 0.643 S
0.667 0.333 0.857 S

Pm2Dy2Er3 PBE optimized geometry; E_form = 0.23 eV per atom; size of the total moment = 0.0 μB per formula unit; energy relative to the lowest polymorph listed for this composition = 208 meV/atom
1.0
-4.851 4.851 4.851
4.851 -4.851 4.851
4.851 4.851 -4.851
Pm Dy Er
4 4 6
direct
0.000 0.813 0.500 Pm
0.500 0.000 0.813 Pm
0.687 0.687 0.687 Pm
0.813 0.500 0.000 Pm
0.000 0.415 0.500 Dy
0.085 0.085 0.085 Dy
0.415 0.500 0.000 Dy
0.500 0.000 0.415 Dy
0.194 0.750 0.944 Er
0.250 0.556 0.306 Er
0.306 0.250 0.556 Er
0.556 0.306 0.250 Er
0.750 0.944 0.194 Er
0.944 0.194 0.750 Er

Sm12Tm5Th2 PBE optimized geometry; E_form = 0.14 eV per atom; size of the total moment = 0.0 μB per formula unit
1.0
8.751 -5.817 0.000
8.751 5.817 0.000
-1.161 0.000 6.121
Sm Tm Th
12 5 2
direct
0.060 0.537 0.792 Sm
0.076 0.076 0.355 Sm
0.163 0.633 0.384 Sm
0.367 0.837 0.616 Sm
0.399 0.399 0.970 Sm
0.463 0.940 0.208 Sm
0.537 0.060 0.792 Sm
0.601 0.601 0.030 Sm
0.633 0.163 0.384 Sm
0.837 0.367 0.616 Sm
0.924 0.924 0.645 Sm
0.940 0.463 0.208 Sm
0.168 0.168 0.890 Tm
0.279 0.279 0.428 Tm
0.500 0.500 0.500 Tm
0.721 0.721 0.572 Tm
0.832 0.832 0.110 Tm
0.212 0.788 0.000 Th
0.788 0.212 0.000 Th

> Look up the size of the total moment of the first one.

1.0 μB per formula unit

What did the first record say?
NaTiS2 PBE optimized geometry; formation energy (no corrections) = -1.33 eV/atom; size of the total moment = 1.0 μB per formula unit
1.0
3.465 0.000 0.000
-1.732 3.000 0.000
0.000 0.000 14.037
Na Ti S
2 2 4
direct
0.000 0.000 0.000 Na
0.000 0.000 0.500 Na
0.000 0.000 0.250 Ti
0.000 0.000 0.750 Ti
0.333 0.667 0.143 S
0.333 0.667 0.357 S
0.667 0.333 0.643 S
0.667 0.333 0.857 S

Repeat the first record exactly.
NaTiS2 PBE optimized geometry; formation energy (no corrections) = -1.33 eV/atom; size of the total moment = 1.0 μB per formula unit
1.0
3.465 0.000 0.000
-1.732 3.000 0.000
0.000 0.000 14.037
Na Ti S
2 2 4
direct
0.000 0.000 0.000 Na
0.000 0.000 0.500 Na
0.000 0.000 0.250 Ti
0.000 0.000 0.750 Ti
0.333 0.667 0.143 S
0.333 0.667 0.357 S
0.667 0.333 0.643 S
0.667 0.333 0.857 S